Record 1
This record from Alexandria via LeMat-Bulk describes an optimized crystal structure of Sr4ZnTc. The functional is PBE-GGA.

a = 6.917 Å, b = 6.917 Å, c = 6.917 Å
α = 60.00°, β = 60.00°, γ = 60.00°
Each line ends with the local moment (μB).
Fractional coordinates of all 6 atoms:
Sr1 0.376 0.376 0.872  -0.09
Sr2 0.872 0.376 0.376  -0.09
Tc1 0.750 0.750 0.750  2.99
Zn1 0.000 0.000 0.000  -0.01
Sr3 0.376 0.376 0.376  -0.09
Sr4 0.376 0.872 0.376  -0.09

Summary:
ΔH_f (0 K) = 1.14 eV per atom
space group = F-43m

***

Record 2
This record from Alexandria via LeMat-Bulk describes an optimized crystal structure of Ho2Tm3Ga4. The functional is PBE-GGA.

a = 6.780 Å, b = 8.534 Å, c = 8.385 Å
α = 90.00°, β = 113.85°, γ = 90.00°
Fractional coordinates of all 18 atoms:
Ga1 0.725 0.750 0.950
Ga2 0.225 0.750 0.950
Ho1 0.391 0.080 0.783
Tm1 0.539 0.750 0.577
Ga3 0.810 0.041 0.620
Ho2 0.109 0.580 0.217
Ga4 0.775 0.250 0.050
Tm2 0.000 0.000 0.000
Tm3 0.961 0.250 0.423
Tm4 0.500 0.500 0.000
Tm5 0.039 0.750 0.577
Ga5 0.190 0.959 0.380
Ho3 0.609 0.920 0.217
Ga6 0.310 0.459 0.620
Ho4 0.891 0.420 0.783
Ga7 0.690 0.541 0.380
Tm6 0.461 0.250 0.423
Ga8 0.275 0.250 0.050

Summary:
energy relative to the lowest polymorph listed for this composition = 0.1821 eV/atom
ΔH_f (0 K) = -0.40 eV per atom
space group = Cmce

***

Record 3
This record from Alexandria via LeMat-Bulk describes an optimized crystal structure of Li6GaSn3. The functional is PBE-GGA.

a = 5.312 Å, b = 6.696 Å, c = 6.696 Å
α = 113.27°, β = 105.33°, γ = 105.33°
Fractional coordinates of all 10 atoms:
Li1 0.038 0.267 0.000
Li2 0.038 0.000 0.267
Sn1 0.620 0.000 0.494
Li3 0.180 0.661 0.000
Li4 0.519 0.339 0.339
Sn2 0.620 0.494 0.000
Ga1 0.569 0.000 0.000
Li5 0.771 0.733 0.733
Sn3 0.127 0.506 0.506
Li6 0.180 0.000 0.661

Summary:
ΔH_f (0 K) = -0.20 eV per atom
space group = R3m

***

For each record above, in turn, the calculated E values are -1.92 -4.25 -2.85 eV/atom.
For each record above, in turn, the calculated total magnetization values are 2.21 0.00 0.00 μB per cell.